Record 1
GGA-PBE Cs2RhCl5O, relaxed; E = -3.7181 eV per atom; spin magnetization = 2.13 μB/f.u.; crystal system = orthorhombic; SG = Cmcm (63)
1.0
3.6179 -8.7162 0.0000
3.6179 8.7162 0.0000
0.0000 0.0000 8.7346
Rh Cl O Cs
2 10 2 4
direct
0.8856 0.1144 0.7500
0.1144 0.8856 0.2500
0.2525 0.7475 0.2500
0.8851 0.6482 0.0581
0.1149 0.3518 0.9419
0.3518 0.1149 0.4419
0.6482 0.8851 0.5581
0.6482 0.8851 0.9419
0.1149 0.3518 0.5581
0.7475 0.2525 0.7500
0.3518 0.1149 0.0581
0.8851 0.6482 0.4419
0.9887 0.0113 0.7500
0.0113 0.9887 0.2500
0.7689 0.2311 0.2500
0.4708 0.5292 0.2500
0.5292 0.4708 0.7500
0.2311 0.7689 0.7500

Record 2
GGA-PBE Cs4Ru2Cl10O, relaxed; E = -3.9891 eV per atom; spin magnetization = 0.00 μB/f.u.; crystal system = orthorhombic; SG = Pbca (61)
1.0
-1.5316 -0.8251 12.1011
-4.6732 -11.7939 -1.3956
13.0597 -5.3274 1.2897
Cl Cs Ru O
40 16 8 4
direct
0.7146 0.8713 0.0164
0.2146 0.1287 0.4836
0.9733 0.9876 0.7174
0.0267 0.5124 0.2174
0.6972 0.3756 0.7132
0.1979 0.8987 0.6029
0.7854 0.8713 0.5164
0.0267 0.0124 0.2826
0.1972 0.1244 0.7132
0.4733 0.0124 0.7826
0.5121 0.2166 0.0964
0.3028 0.1244 0.2132
0.8028 0.3756 0.2132
0.5121 0.7166 0.4036
0.8028 0.8756 0.2868
0.8021 0.6013 0.1029
0.6972 0.8756 0.7868
0.3028 0.6244 0.2868
0.5267 0.4876 0.2826
0.4879 0.7834 0.9036
0.4879 0.2834 0.5964
0.1979 0.3987 0.8971
0.9879 0.2166 0.5964
0.8021 0.1013 0.3971
0.4733 0.5124 0.7174
0.1972 0.6244 0.7868
0.9733 0.4876 0.7826
0.6979 0.1013 0.8971
0.2146 0.6287 0.0164
0.7146 0.3713 0.4836
0.3021 0.8987 0.1029
0.0121 0.7834 0.4036
0.2854 0.1287 0.9836
0.2854 0.6287 0.5164
0.3021 0.3987 0.3971
0.6979 0.6013 0.6029
0.0121 0.2834 0.0964
0.9879 0.7166 0.9036
0.7854 0.3713 0.9836
0.5267 0.9876 0.2174
0.2789 0.3928 0.1375
0.2211 0.3928 0.6375
0.7211 0.6072 0.8625
0.4770 0.2755 0.8541
0.5230 0.7245 0.1459
0.2789 0.8928 0.3625
0.7789 0.6072 0.3625
0.7211 0.1072 0.6375
0.7789 0.1072 0.1375
0.0230 0.2755 0.3541
0.5230 0.2245 0.3541
0.9770 0.2245 0.8541
0.9770 0.7245 0.6459
0.4770 0.7755 0.6459
0.0230 0.7755 0.1459
0.2211 0.8928 0.8625
0.5866 0.9466 0.9085
0.0866 0.0534 0.5915
0.9134 0.4466 0.0915
0.4134 0.5534 0.4085
0.5866 0.4466 0.5915
0.4134 0.0534 0.0915
0.0866 0.5534 0.9085
0.9134 0.9466 0.4085
0.0000 0.5000 0.0000
0.5000 0.5000 0.5000
0.0000 0.0000 0.5000
0.5000 0.0000 0.0000

Record 3
GGA-PBE Cs2SCl6O, relaxed; E = -2.8274 eV per atom; DOS(E_F) = 0.2118 states/eV per atom; spin magnetization = 0.00 μB/f.u.; crystal system = tetragonal; SG = I4/mmm (139)
1.0
6.7725 0.0000 0.0000
0.0000 6.7725 0.0000
3.3863 3.3863 5.7711
Cl Cs O S
6 2 1 1
direct
0.7997 0.7997 0.4006
0.7421 0.2579 0.0000
0.2003 0.2003 0.5994
0.2579 0.2579 0.0000
0.2579 0.7421 0.0000
0.7421 0.7421 0.0000
0.2500 0.7500 0.5000
0.7500 0.2500 0.5000
0.5000 0.5000 0.0000
0.0000 0.0000 0.0000

Record 4
GGA-PBE CsSCl2O, relaxed; E = -1.8319 eV per atom; DOS(E_F) = 2.7641 states/eV per atom; spin magnetization = 4.65 μB/f.u.; crystal system = tetragonal; SG = P4/mmm (123)
1.0
-5.1384 3.1456 0.8889
0.3199 -1.1643 5.9691
3.0589 4.7796 0.7683
Cl Cs S O
2 1 1 1
direct
0.0000 0.5000 0.0000
0.5000 0.0000 0.0000
0.0000 0.0000 0.0000
0.0000 0.0000 0.5000
0.5000 0.5000 0.5000

Record 5
GGA-PBE CsSCl2O, relaxed; E = -3.2066 eV per atom; DOS(E_F) = 0.5490 states/eV per atom; spin magnetization = 0.79 μB/f.u.; crystal system = tetragonal; SG = P4/mmm (123)
1.0
6.4951 0.0000 0.0000
0.0000 6.4951 0.0000
0.0000 0.0000 3.3981
Cl O Cs S
2 1 1 1
direct
0.0000 0.5000 0.0000
0.5000 0.0000 0.0000
0.0000 0.0000 0.0000
0.5000 0.5000 0.5000
0.0000 0.0000 0.5000

Record 6
GGA-PBE Cs6SCl2O, relaxed; E = -3.0797 eV per atom; spin magnetization = 0.00 μB/f.u.; crystal system = orthorhombic; SG = Pmmn (59)
1.0
8.4127 0.0000 0.0000
0.0000 9.4869 0.0000
0.0000 0.0000 12.3617
Cs S Cl O
12 2 4 2
direct
0.7417 0.9703 0.5000
0.2725 0.6094 0.0000
0.2275 0.3906 0.5000
0.0000 0.7993 0.7634
0.5000 0.2007 0.7366
0.2417 0.0297 0.0000
0.7725 0.3906 0.5000
0.0000 0.7993 0.2366
0.7583 0.0297 0.0000
0.5000 0.2007 0.2634
0.2583 0.9703 0.5000
0.7275 0.6094 0.0000
0.0000 0.6886 0.5000
0.5000 0.3114 0.0000
0.0000 0.1542 0.6864
0.0000 0.1542 0.3136
0.5000 0.8458 0.8136
0.5000 0.8458 0.1864
0.0000 0.7911 0.0000
0.5000 0.2089 0.5000